Below is a geometry-optimized Rb2TiSbI6 structure, with properties calculated at the PBE level.

Output
Theoretical density, g/cm3: 3.98
ΔE_f (raw), eV/atom: -0.728
V, Å³/f.u.: 459.2

a b c (Å): 8.3194 8.3194 8.8671
angles (deg): 62.02 62.02 90.00
Positions (direct):
I 0.2564 0.7436 0.0000
Rb 0.2500 0.7500 0.5000
I 0.2564 0.2564 0.0000
I 0.2862 0.2862 0.4275
Rb 0.7500 0.2500 0.5000
I 0.7436 0.2564 0.0000
Sb 0.0000 0.0000 0.0000
I 0.7138 0.7138 0.5725
Ti 0.5000 0.5000 0.0000
I 0.7436 0.7436 0.0000